Record 1
Compound: Rb2CaN2
Source: the Alexandria database
Functional: GGA-PBE
Structure: relaxed

Summary:
Calculated total energy ... -2.929 eV/atom
Formation energy (no corrections) ... 115 kJ/mol of atoms
V ... 26.3 Å³/atom
E above lowest polymorph ... 0.082 eV/atom
Spin magnetization ... 2.00 μB per formula unit
Crystal system ... tetragonal

Cell lengths 6.0825, 6.0825, 6.0825 Å; angles 129.25, 129.25, 74.60 degrees
Positions (direct):
Rb 0.1564 0.1564 0.0000
Rb 0.8436 0.8436 0.0000
Ca 0.5000 0.5000 0.0000
N 0.2500 0.7500 0.5000
N 0.7500 0.2500 0.5000

---

Record 2
Compound: RbCaN3
Source: the Alexandria database
Functional: GGA-PBE
Structure: relaxed

Summary:
Calculated total energy ... -3.278 eV/atom
Formation energy (no corrections) ... 223 kJ/mol of atoms
V ... 17.0 Å³/atom
Spin magnetization ... 2.77 μB per formula unit
Crystal system ... cubic

Cell lengths 4.3959, 4.3959, 4.3959 Å; angles 90.00, 90.00, 90.00 degrees
Positions (direct):
Rb 0.0000 0.0000 0.0000
Ca 0.5000 0.5000 0.5000
N 0.0000 0.0000 0.5000
N 0.0000 0.5000 0.0000
N 0.5000 0.0000 0.0000

---

Record 3
Compound: RbCaN2
Source: the Alexandria database
Functional: GGA-PBE
Structure: relaxed

Summary:
Calculated total energy ... -4.003 eV/atom
Formation energy (no corrections) ... 87 kJ/mol of atoms
V ... 17.7 Å³/atom
E above lowest polymorph ... 0.000 eV/atom
Spin magnetization ... 3.00 μB per formula unit
Crystal system ... cubic

Cell lengths 4.6411, 4.6411, 4.6411 Å; angles 60.00, 60.00, 60.00 degrees
Positions (direct):
Rb 0.0000 0.0000 0.0000
Ca 0.5000 0.5000 0.5000
N 0.2500 0.2500 0.2500
N 0.7500 0.7500 0.7500

---

Record 4
Compound: Rb2CaN2
Source: the Alexandria database
Functional: GGA-PBE
Structure: relaxed

Summary:
Calculated total energy ... -3.011 eV/atom
Formation energy (no corrections) ... 107 kJ/mol of atoms
V ... 22.4 Å³/atom
E above lowest polymorph ... 0.000 eV/atom
Spin magnetization ... 2.01 μB per formula unit
Crystal system ... tetragonal

Cell lengths 8.0349, 8.0349, 3.4758 Å; angles 90.00, 90.00, 90.00 degrees
Positions (direct):
Rb 0.1297 0.3703 0.0000
Rb 0.3703 0.8703 0.0000
Rb 0.6297 0.1297 0.0000
Rb 0.8703 0.6297 0.0000
Ca 0.0000 0.0000 0.0000
Ca 0.5000 0.5000 0.0000
N 0.1810 0.6810 0.5000
N 0.3190 0.1810 0.5000
N 0.6810 0.8190 0.5000
N 0.8190 0.3190 0.5000

---

Number 1: DOS(E_F) 0.482 states/eV/atom. Number 2: DOS(E_F) 0.869 states/eV/atom. Number 3: DOS(E_F) 0.528 states/eV/atom. Number 4: DOS(E_F) 0.370 states/eV/atom.